No. 1
This record from Alexandria describes a relaxed TlSeCl5 crystal. The functional is PBE.

The structure in POSCAR format:
```
TlSeCl5
1.0
5.1807 0.0000 2.3140
1.7005 6.5186 3.1491
-0.2096 -0.3411 7.4257
Cl Se Tl
5 1 1
direct
0.2753 0.7168 0.7168
0.9354 0.5000 0.5000
0.5215 0.2088 0.7912
0.7089 0.2832 0.2832
0.5215 0.7912 0.2088
0.5461 0.5000 0.5000
0.0219 0.0000 0.0000
```

Summary:
Uncorrected formation energy: -487.7 meV/atom
Space-group type: No. 44

No. 2
This record from Alexandria describes a relaxed TlSe2Cl crystal. The functional is PBE.

The structure in POSCAR format:
```
TlSe2Cl
1.0
5.1361 0.0000 0.0000
2.5681 4.4480 0.0000
2.5681 1.4827 4.1936
Se Cl Tl
2 1 1
direct
0.0000 0.0000 0.0000
0.2500 0.2500 0.2500
0.5000 0.5000 0.5000
0.7500 0.7500 0.7500
```

Summary:
Uncorrected formation energy: 157.5 meV/atom
Space-group type: No. 216
Energy above the lowest structure with this stoichiometry: 511.5 meV per atom

No. 3
This record from Alexandria describes a relaxed Tl2SeCl4 crystal. The functional is PBE.

The structure in POSCAR format:
```
Tl2SeCl4
1.0
5.5063 0.0000 0.0000
0.0000 5.5063 0.0000
2.7532 2.7532 7.4836
Cl Se Tl
4 1 2
direct
0.0000 0.5000 0.0000
0.1636 0.1636 0.6727
0.5000 0.0000 0.0000
0.8364 0.8364 0.3273
0.0000 0.0000 0.0000
0.3715 0.3715 0.2570
0.6285 0.6285 0.7430
```

Summary:
Uncorrected formation energy: -588.4 meV/atom
Space-group type: No. 139
Energy above the lowest structure with this stoichiometry: 106.9 meV per atom

No. 4
This record from Alexandria describes a relaxed TlSeCl4 crystal. The functional is PBE.

The structure in POSCAR format:
```
TlSeCl4
1.0
-0.1929 3.3770 5.1791
-0.0700 6.1763 -0.3357
-5.1358 3.1193 1.4689
Cl Tl Se
4 1 1
direct
0.3749 0.8754 0.3749
0.3749 0.3749 0.3749
0.8754 0.3749 0.3749
0.3749 0.3749 0.8754
0.0000 0.0000 0.0000
0.7500 0.7500 0.7500
```

Summary:
Uncorrected formation energy: 388.2 meV/atom
Space-group type: No. 216
Energy above the lowest structure with this stoichiometry: 883.6 meV per atom

No. 5
This record from Alexandria describes a relaxed TlSe2Cl crystal. The functional is PBE.

The structure in POSCAR format:
```
TlSe2Cl
1.0
-2.5040 1.2541 -0.7358
0.2519 -1.1555 -2.6430
-6.4011 -10.4568 3.9616
Se Tl Cl
2 1 1
direct
0.0000 0.0000 0.0326
0.0000 0.0000 0.4674
0.5000 0.5000 0.2500
0.5000 0.5000 0.7500
```

Summary:
Uncorrected formation energy: 266.9 meV/atom
Space-group type: No. 65
Energy above the lowest structure with this stoichiometry: 620.9 meV per atom

No. 6
This record from Alexandria describes a relaxed Tl8Se3Cl2 crystal. The functional is PBE.

The structure in POSCAR format:
```
Tl8Se3Cl2
1.0
-5.9271 4.8342 -0.3222
-2.1224 1.2428 8.2561
2.7689 6.9719 4.2354
Cl Tl Se
2 8 3
direct
0.9172 0.7539 0.7539
0.0828 0.2461 0.2461
0.7302 0.1385 0.6209
0.7577 0.1266 0.1266
0.2698 0.3791 0.8615
0.2567 0.3983 0.3983
0.2698 0.8615 0.3791
0.2423 0.8734 0.8734
0.7302 0.6209 0.1385
0.7433 0.6017 0.6017
0.0000 0.2473 0.7527
0.5000 0.0000 0.0000
0.0000 0.7527 0.2473
```

Summary:
Uncorrected formation energy: -534.0 meV/atom
Space-group type: No. 12

No. 7
This record from Alexandria describes a relaxed TlSeCl3 crystal. The functional is PBE.

The structure in POSCAR format:
```
TlSeCl3
1.0
5.0814 0.0000 0.0000
0.0000 7.6335 -1.0429
0.0000 2.8275 17.1122
Se Tl Cl
4 4 12
direct
0.3944 0.0579 0.0664
0.1056 0.5579 0.5664
0.8944 0.4421 0.4336
0.6056 0.9421 0.9336
0.9869 0.4499 0.8300
0.0131 0.5501 0.1700
0.4869 0.0501 0.6700
0.5131 0.9499 0.3300
0.2045 0.2961 0.0064
0.2955 0.7961 0.5064
0.9898 0.2953 0.6616
0.9874 0.7294 0.6710
0.7955 0.7039 0.9936
0.5126 0.2294 0.1710
0.4898 0.2047 0.8384
0.7045 0.2039 0.4936
0.4874 0.7706 0.8290
0.5102 0.7953 0.1616
0.0102 0.7047 0.3384
0.0126 0.2706 0.3290
```

Summary:
Uncorrected formation energy: -517.4 meV/atom
Space-group type: No. 14
Energy above the lowest structure with this stoichiometry: 19.3 meV per atom

No. 8
This record from Alexandria describes a relaxed TlSe2Cl crystal. The functional is PBE.

The structure in POSCAR format:
```
TlSe2Cl
1.0
2.4925 0.0000 7.8869
-1.2463 2.1586 7.8869
-1.2463 -2.1586 7.8869
Tl Cl Se
1 1 2
direct
0.5000 0.5000 0.5000
0.0000 0.0000 0.0000
0.1044 0.1044 0.1044
0.8956 0.8956 0.8956
```

Summary:
Uncorrected formation energy: -52.9 meV/atom
Space-group type: No. 166
Energy above the lowest structure with this stoichiometry: 301.1 meV per atom

The evaluated magnetic moment for the records listed, in turn: 0.00; 0.20; 0.00; 5.07; 0.00; 0.00; 0.00; 0.00 Bohr magnetons per cell.
The evaluated DFT total energy for the records listed, in turn: -0.1942; -0.1939; -0.2071; -0.1336; -0.1858; -0.2263; -0.2055; -0.2094 Ry/atom.